[1]
This record from Alexandria describes CdTc2Mo after structural relaxation. The functional is PBEsol.

Geometry as CIF:
```
data_CdTc2Mo
_chemical_formula_sum 'Cd1 Tc2 Mo1'
_cell_length_a 2.7083
_cell_length_b 4.1633
_cell_length_c 5.6008
_cell_angle_alpha 90.00
_cell_angle_beta 100.03
_cell_angle_gamma 90.00
_space_group_name_H-M_alt 'P 1 2/m 1'
_space_group_IT_number 10
loop_
_space_group_symop_operation_xyz
'x,y,z'
'-x,-y,-z'
'-x,y,-z'
'x,-y,z'
loop_
_atom_site_label
_atom_site_type_symbol
_atom_site_fract_x
_atom_site_fract_y
_atom_site_fract_z
_atom_site_occupancy
Cd1 Cd 0.0000 0.0000 0.0000 1
Tc1 Tc 0.4135 0.5000 0.7314 1
Mo1 Mo 0.0000 0.0000 0.5000 1
```

Calculated values
* final energy: -8.4846 eV per atom
* V: 62.19 Å³ per cell


[2]
This record from Alexandria describes Rb2ScTlF6 after structural relaxation. The functional is PBEsol.

Geometry as CIF:
```
data_Rb2ScTlF6
_chemical_formula_sum 'Rb8 Sc4 Tl4 F24'
_cell_length_a 9.2077
_cell_length_b 9.2077
_cell_length_c 9.2077
_cell_angle_alpha 90.00
_cell_angle_beta 90.00
_cell_angle_gamma 90.00
_space_group_name_H-M_alt 'F m -3 m'
_space_group_IT_number 225
_space_group_name_Hall '-F 4 2 3'
loop_
_atom_site_label
_atom_site_type_symbol
_atom_site_fract_x
_atom_site_fract_y
_atom_site_fract_z
_atom_site_occupancy
Rb1 Rb 0.2500 0.2500 0.2500 1
Sc1 Sc 0.0000 0.0000 0.0000 1
Tl1 Tl 0.0000 0.0000 0.5000 1
F1 F 0.0000 0.0000 0.2183 1
```

Calculated values
* formation energy from raw total energies: -3057 meV per atom
* V: 780.64 Å³ per cell


[3]
This record from Alexandria describes ZnMo3 after structural relaxation. The functional is PBEsol.

Geometry as CIF:
```
data_ZnMo3
_chemical_formula_sum 'Zn2 Mo6'
_cell_length_a 4.8998
_cell_length_b 4.8998
_cell_length_c 4.8998
_cell_angle_alpha 90.00
_cell_angle_beta 90.00
_cell_angle_gamma 90.00
_space_group_name_H-M_alt 'P m -3 n'
_space_group_IT_number 223
_space_group_name_Hall '-P 4n 2 3'
loop_
_atom_site_label
_atom_site_type_symbol
_atom_site_fract_x
_atom_site_fract_y
_atom_site_fract_z
_atom_site_occupancy
Zn1 Zn 0.0000 0.0000 0.0000 1
Mo1 Mo 0.0000 0.2500 0.5000 1
```

Calculated values
* V: 117.64 Å³ per cell
* energy relative to the lowest polymorph listed for this composition: 0 meV/atom


[4]
This record from Alexandria describes NiAs3Pb after structural relaxation. The functional is PBEsol.

Geometry as CIF:
```
data_NiAs3Pb
_chemical_formula_sum 'Ni1 As3 Pb1'
_cell_length_a 5.2469
_cell_length_b 5.2469
_cell_length_c 5.2469
_cell_angle_alpha 90.00
_cell_angle_beta 90.00
_cell_angle_gamma 90.00
_space_group_name_H-M_alt 'P m -3 m'
_space_group_IT_number 221
_space_group_name_Hall '-P 4 2 3'
loop_
_atom_site_label
_atom_site_type_symbol
_atom_site_fract_x
_atom_site_fract_y
_atom_site_fract_z
_atom_site_occupancy
Ni1 Ni 0.0000 0.0000 0.0000 1
As1 As 0.0000 0.5000 0.5000 1
Pb1 Pb 0.5000 0.5000 0.5000 1
```

Calculated values
* final energy: -3.3423 eV per atom
* V: 144.44 Å³ per cell


[5]
This record from Alexandria describes ErLuCu2 after structural relaxation. The functional is PBEsol.

Geometry as CIF:
```
data_ErLuCu2
_chemical_formula_sum 'Er4 Lu4 Cu8'
_cell_length_a 6.6976
_cell_length_b 6.6976
_cell_length_c 6.6976
_cell_angle_alpha 90.00
_cell_angle_beta 90.00
_cell_angle_gamma 90.00
_space_group_name_H-M_alt 'F m -3 m'
_space_group_IT_number 225
_space_group_name_Hall '-F 4 2 3'
loop_
_atom_site_label
_atom_site_type_symbol
_atom_site_fract_x
_atom_site_fract_y
_atom_site_fract_z
_atom_site_occupancy
Er1 Er 0.0000 0.0000 0.0000 1
Lu1 Lu 0.0000 0.0000 0.5000 1
Cu1 Cu 0.2500 0.2500 0.2500 1
```

Calculated values
* final energy: -4.8968 eV per atom
* V: 300.44 Å³ per cell


[6]
This record from Alexandria describes TcAsSBr2 after structural relaxation. The functional is PBEsol.

Geometry as CIF:
```
data_TcAsSBr2
_chemical_formula_sum 'Tc1 As1 S1 Br2'
_cell_length_a 4.8050
_cell_length_b 4.8050
_cell_length_c 4.8692
_cell_angle_alpha 90.00
_cell_angle_beta 90.00
_cell_angle_gamma 90.00
_space_group_name_H-M_alt 'P 4/m m m'
_space_group_IT_number 123
_space_group_name_Hall '-P 4 2'
loop_
_atom_site_label
_atom_site_type_symbol
_atom_site_fract_x
_atom_site_fract_y
_atom_site_fract_z
_atom_site_occupancy
Tc1 Tc 0.0000 0.0000 0.0000 1
As1 As 0.0000 0.0000 0.5000 1
S1 S 0.5000 0.5000 0.5000 1
Br1 Br 0.0000 0.5000 0.0000 1
```

Calculated values
* formation energy from raw total energies: 625 meV per atom
* V: 112.42 Å³ per cell
* energy relative to the lowest polymorph listed for this composition: 0 meV/atom


[7]
This record from Alexandria describes CaMg3C after structural relaxation. The functional is PBEsol.

Geometry as CIF:
```
data_CaMg3C
_chemical_formula_sum 'Ca1 Mg3 C1'
_cell_length_a 6.2158
_cell_length_b 6.2158
_cell_length_c 6.2158
_cell_angle_alpha 90.00
_cell_angle_beta 90.00
_cell_angle_gamma 90.00
_space_group_name_H-M_alt 'P m -3 m'
_space_group_IT_number 221
_space_group_name_Hall '-P 4 2 3'
loop_
_atom_site_label
_atom_site_type_symbol
_atom_site_fract_x
_atom_site_fract_y
_atom_site_fract_z
_atom_site_occupancy
Ca1 Ca 0.0000 0.0000 0.0000 1
Mg1 Mg 0.0000 0.0000 0.5000 1
C1 C 0.5000 0.5000 0.5000 1
```

Calculated values
* V: 240.16 Å³ per cell
* energy relative to the lowest polymorph listed for this composition: 1886 meV/atom


[8]
This record from Alexandria describes CsSeBr3 after structural relaxation. The functional is PBEsol.

Geometry as CIF:
```
data_CsSeBr3
_chemical_formula_sum 'Cs2 Se2 Br6'
_cell_length_a 5.4643
_cell_length_b 8.8290
_cell_length_c 7.7696
_cell_angle_alpha 90.00
_cell_angle_beta 101.25
_cell_angle_gamma 90.00
_space_group_name_H-M_alt 'P 1 21/m 1'
_space_group_IT_number 11
loop_
_space_group_symop_operation_xyz
'x,y,z'
'-x,-y,-z'
'-x,y+1/2,-z'
'x,-y+1/2,z'
loop_
_atom_site_label
_atom_site_type_symbol
_atom_site_fract_x
_atom_site_fract_y
_atom_site_fract_z
_atom_site_occupancy
Cs1 Cs 0.1892 0.2500 0.1546 1
Se1 Se 0.0000 0.0000 0.5000 1
Br1 Br 0.2102 0.7500 0.4260 1
Br2 Br 0.3027 0.0113 0.8003 1
```

Calculated values
* formation energy from raw total energies: -789 meV per atom
* V: 367.64 Å³ per cell


[9]
This record from Alexandria describes CaAlSb3 after structural relaxation. The functional is PBEsol.

Geometry as CIF:
```
data_CaAlSb3
_chemical_formula_sum 'Ca1 Al1 Sb3'
_cell_length_a 5.2805
_cell_length_b 5.2805
_cell_length_c 5.2805
_cell_angle_alpha 90.00
_cell_angle_beta 90.00
_cell_angle_gamma 90.00
_space_group_name_H-M_alt 'P m -3 m'
_space_group_IT_number 221
_space_group_name_Hall '-P 4 2 3'
loop_
_atom_site_label
_atom_site_type_symbol
_atom_site_fract_x
_atom_site_fract_y
_atom_site_fract_z
_atom_site_occupancy
Ca1 Ca 0.0000 0.0000 0.0000 1
Al1 Al 0.5000 0.5000 0.5000 1
Sb1 Sb 0.0000 0.5000 0.5000 1
```

Calculated values
* formation energy from raw total energies: 62 meV per atom
* V: 147.24 Å³ per cell


[10]
This record from Alexandria describes ScBeMo2 after structural relaxation. The functional is PBEsol.

Geometry as CIF:
```
data_ScBeMo2
_chemical_formula_sum 'Sc2 Be2 Mo4'
_cell_length_a 5.3325
_cell_length_b 8.9851
_cell_length_c 2.6628
_cell_angle_alpha 90.00
_cell_angle_beta 109.40
_cell_angle_gamma 90.00
_space_group_name_H-M_alt 'C 1 2/m 1'
_space_group_IT_number 12
loop_
_space_group_symop_operation_xyz
'x,y,z'
'-x,-y,-z'
'-x,y,-z'
'x,-y,z'
'x+1/2,y+1/2,z'
'-x+1/2,-y+1/2,-z'
'-x+1/2,y+1/2,-z'
'x+1/2,-y+1/2,z'
loop_
_atom_site_label
_atom_site_type_symbol
_atom_site_fract_x
_atom_site_fract_y
_atom_site_fract_z
_atom_site_occupancy
Sc1 Sc 0.0000 0.0000 0.0000 1
Be1 Be 0.0000 0.5000 0.0000 1
Mo1 Mo 0.2500 0.2500 0.5000 1
```

Calculated values
* final energy: -8.2487 eV per atom
* V: 120.34 Å³ per cell


[11]
This record from Alexandria describes Na3BeAlSi2O8 after structural relaxation. The functional is PBEsol.

Geometry as CIF:
```
data_Na3BeAlSi2O8
_chemical_formula_sum 'Na6 Be2 Al2 Si4 O16'
_cell_length_a 6.8681
_cell_length_b 7.1995
_cell_length_c 7.3226
_cell_angle_alpha 90.00
_cell_angle_beta 90.00
_cell_angle_gamma 90.00
_space_group_name_H-M_alt 'P 21 21 2'
_space_group_IT_number 18
loop_
_space_group_symop_operation_xyz
'x,y,z'
'-x,-y,z'
'x+1/2,-y+1/2,-z'
'-x+1/2,y+1/2,-z'
loop_
_atom_site_label
_atom_site_type_symbol
_atom_site_fract_x
_atom_site_fract_y
_atom_site_fract_z
_atom_site_occupancy
Na1 Na 0.0000 0.0000 0.0334 1
Na2 Na 0.2488 0.2128 0.6763 1
Be1 Be 0.0000 0.0000 0.4320 1
Al1 Al 0.0000 0.5000 0.9658 1
Si1 Si 0.2354 0.8018 0.7402 1
O1 O 0.0429 0.6974 0.8299 1
O2 O 0.0822 0.1629 0.2931 1
O3 O 0.1731 0.9135 0.5572 1
O4 O 0.2039 0.4608 0.1053 1
```

Calculated values
* formation energy from raw total energies: -2617 meV per atom
* V: 362.08 Å³ per cell


[12]
This record from Alexandria describes TaNbRu3 after structural relaxation. The functional is PBEsol.

Geometry as CIF:
```
data_TaNbRu3
_chemical_formula_sum 'Ta1 Nb1 Ru3'
_cell_length_a 4.5687
_cell_length_b 4.5687
_cell_length_c 4.5687
_cell_angle_alpha 90.00
_cell_angle_beta 90.00
_cell_angle_gamma 90.00
_space_group_name_H-M_alt 'P m -3 m'
_space_group_IT_number 221
_space_group_name_Hall '-P 4 2 3'
loop_
_atom_site_label
_atom_site_type_symbol
_atom_site_fract_x
_atom_site_fract_y
_atom_site_fract_z
_atom_site_occupancy
Ta1 Ta 0.0000 0.0000 0.0000 1
Nb1 Nb 0.5000 0.5000 0.5000 1
Ru1 Ru 0.0000 0.0000 0.5000 1
```

Calculated values
* V: 95.36 Å³ per cell
* energy relative to the lowest polymorph listed for this composition: 0 meV/atom


[13]
This record from Alexandria describes CePd3 after structural relaxation. The functional is PBEsol.

Geometry as CIF:
```
data_CePd3
_chemical_formula_sum 'Ce1 Pd3'
_cell_length_a 4.0820
_cell_length_b 4.0820
_cell_length_c 4.0820
_cell_angle_alpha 90.00
_cell_angle_beta 90.00
_cell_angle_gamma 90.00
_space_group_name_H-M_alt 'P m -3 m'
_space_group_IT_number 221
_space_group_name_Hall '-P 4 2 3'
loop_
_atom_site_label
_atom_site_type_symbol
_atom_site_fract_x
_atom_site_fract_y
_atom_site_fract_z
_atom_site_occupancy
Ce1 Ce 0.0000 0.0000 0.0000 1
Pd1 Pd 0.0000 0.5000 0.5000 1
```

Calculated values
* final energy: -6.9175 eV per atom
* V: 68.02 Å³ per cell